Record 1
VASP calculation (GGA-PBE) on a relaxed NdPu2Ga9 crystal.

Geometry as POSCAR:
```
NdPu2Ga9
1.0
2.788 1.610 8.862
-2.788 1.610 8.862
0.000 -3.220 8.862
Nd Pu Ga
1 2 9
Cartesian
0.000 0.000 0.000
0.000 0.000 3.773
0.000 0.000 22.811
-1.432 -0.827 11.107
0.000 0.000 8.940
0.000 -1.653 15.478
-1.432 0.827 15.478
0.000 0.000 13.292
1.432 -0.827 11.107
0.000 1.653 11.107
0.000 0.000 17.645
1.432 0.827 15.478
```

## Properties
ΔH_f (0 K), kcal/mol of atoms: -7.7
Calculated total energy, eV for the cell shown: -64.68

Record 2
VASP calculation (GGA-PBE) on a relaxed Cs2Zn2AgF7 crystal.

Geometry as POSCAR:
```
Cs2Zn2AgF7
1.0
-2.117 2.117 11.411
2.117 -2.117 11.411
2.117 2.117 -11.411
Cs Zn Ag F
2 2 1 7
Cartesian
0.000 0.000 4.145
0.000 0.000 18.676
0.000 0.000 9.423
0.000 0.000 13.398
0.000 0.000 0.000
2.117 0.000 1.923
0.000 0.000 7.384
2.117 0.000 9.488
0.000 0.000 11.411
0.000 2.117 1.923
0.000 0.000 15.437
0.000 2.117 9.488
```

## Properties
Uncorrected formation energy, eV/atom: -2.223
Calculated total energy, eV for the cell shown: -46.88

Record 3
VASP calculation (GGA-PBE) on a relaxed Ba3TlCd2Hg6 crystal.

Geometry as POSCAR:
```
Ba3TlCd2Hg6
1.0
6.612 0.000 0.000
-3.306 5.727 0.000
0.000 0.000 10.350
Ba Tl Cd Hg
3 1 2 6
Cartesian
0.000 0.000 0.000
0.000 3.818 6.384
3.306 1.909 3.966
0.000 0.000 5.175
0.000 3.818 10.185
3.306 1.909 0.165
0.000 2.052 2.701
-1.529 4.700 2.701
1.777 1.026 7.649
1.529 4.700 2.701
4.835 1.026 7.649
3.306 3.674 7.649
```

## Properties
ΔH_f (0 K), kcal/mol of atoms: -6.6
Calculated total energy, eV for the cell shown: -15.24

Record 4
VASP calculation (GGA-PBE) on a relaxed AlAg2RhC crystal.

Geometry as POSCAR:
```
AlAg2RhC
1.0
4.902 0.000 0.000
0.000 4.902 0.000
0.000 0.000 3.655
Al Ag Rh C
1 2 1 1
Cartesian
0.000 0.000 0.000
0.000 2.451 0.000
2.451 0.000 0.000
2.451 2.451 1.828
0.000 0.000 1.828
```

## Properties
ΔH_f (0 K), kcal/mol of atoms: 28.4
Calculated total energy, eV for the cell shown: -19.87

Record 5
VASP calculation (GGA-PBE) on a relaxed Tb3Y6Ho2Sc crystal.

Geometry as POSCAR:
```
Tb3Y6Ho2Sc
1.0
3.065 -5.303 0.000
3.065 5.303 0.000
-2.036 0.000 11.538
Tb Y Ho Sc
3 6 2 1
Cartesian
0.000 0.000 0.000
3.065 1.766 0.000
3.065 -1.766 0.000
1.033 1.756 2.922
0.017 0.000 8.618
1.033 -1.756 2.922
3.061 1.756 8.616
4.077 0.000 2.920
3.061 -1.756 8.616
2.047 3.536 5.769
2.047 -3.536 5.769
2.047 0.000 5.769
```

## Properties
ΔH_f (0 K), kcal/mol of atoms: 0.7
Calculated total energy, eV for the cell shown: -67.78

Record 6
VASP calculation (GGA-PBE) on a relaxed BaInPtAu2 crystal.

Geometry as POSCAR:
```
BaInPtAu2
1.0
5.265 0.000 0.000
0.000 5.265 0.000
0.000 0.000 5.208
Ba In Pt Au
1 1 1 2
Cartesian
0.000 0.000 0.000
2.632 2.632 2.604
2.632 2.632 0.000
0.000 2.632 2.604
2.632 0.000 2.604
```

## Properties
ΔH_f (0 K), kcal/mol of atoms: -5.8
Calculated total energy, eV for the cell shown: -18.52
E above lowest polymorph, eV/f.u.: 1.44